DFT (PBE-GGA) results for a relaxed Pr3Te2Br crystal.

a b c (Å): 4.314 4.314 23.784
angles (deg): 90.00 90.00 120.00
Element x y z (fractional)
Pr 0.000 0.000 0.000
Pr 0.333 0.667 0.162
Pr 0.333 0.667 0.338
Pr 0.000 0.000 0.500
Pr 0.667 0.333 0.662
Pr 0.667 0.333 0.838
Te 0.333 0.667 0.917
Te 0.667 0.333 0.083
Te 0.667 0.333 0.417
Te 0.333 0.667 0.583
Br 0.000 0.000 0.250
Br 0.000 0.000 0.750

Properties
total energy = -5.0025 eV/atom
magnetic moment = 0.00 Bohr magnetons per cell
space group = No. 194
density = 6.57 Mg/m³